(1)
Compound: TbHo3Er2Se6
Source: the Alexandria database
Functional: PBE
Structure: optimized geometry

## Properties
raw formation energy	-1.7221	eV/atom
final energy	-5.755	eV per atom

Lattice parameters (Å, degrees): 7.026 7.026 7.040 99.53 99.53 120.37
Positions (direct):
Tb: 0.000 0.000 0.000
Ho: 0.164 0.836 0.500
Ho: 0.500 0.500 0.500
Ho: 0.836 0.164 0.500
Er: 0.334 0.666 0.000
Er: 0.666 0.334 0.000
Se: 0.083 0.421 0.251
Se: 0.254 0.254 0.751
Se: 0.421 0.083 0.251
Se: 0.579 0.917 0.749
Se: 0.746 0.746 0.249
Se: 0.917 0.579 0.749

(2)
Compound: Cr2ReBr
Source: the Alexandria database
Functional: PBE
Structure: optimized geometry

## Properties
raw formation energy	1.1047	eV/atom
final energy	-7.237	eV per atom
relative energy among the computed polymorphs	0.7312	eV per atom

Lattice parameters (Å, degrees): 4.640 4.640 4.640 127.27 127.27 77.81
Positions (direct):
Cr: 0.250 0.750 0.500
Cr: 0.750 0.250 0.500
Re: 0.000 0.000 0.000
Br: 0.500 0.500 0.000

(3)
Compound: TaPbW
Source: the Alexandria database
Functional: PBE
Structure: optimized geometry

## Properties
ΔE_f	1.810	eV/f.u.
final energy	-8.902	eV per atom
relative energy among the computed polymorphs	0.0257	eV per atom

Lattice parameters (Å, degrees): 5.436 5.436 5.436 142.59 142.59 53.95
Positions (direct):
Ta: 0.000 0.000 0.000
Pb: 0.313 0.313 0.000
W: 0.631 0.631 0.000

Magnetization (μB per formula unit)
0.000; 4.121; 0.000